Be2CdW | PBE-GGA | optimized geometry

Computed properties:
- magnetic moment (μB/atom) = 0.000
- VASP energy (eV per cell) = -35.93
- energy of formation from the pure elements (eV per formula unit) = 3.36

Cell: 6.4078 6.4078 5.3055 Å, 52.85 52.85 90.00°
With the nearest neighbours (Å) after each atom.
Positions (direct):
Be1 0.6245 0.1250 0.2500  2 Cd 2.37, 2 W 2.37
Be2 0.1255 0.6250 0.2500  2 Cd 2.37, 2 W 2.37
Be3 0.3750 0.3755 0.7500  2 Cd 2.37, 2 W 2.37
Be4 0.8750 0.8745 0.7500  2 Cd 2.37, 2 W 2.37
W1 0.0000 0.0000 0.0000  4 Be 2.37
W2 0.7500 0.2500 0.5000  4 Be 2.37
Cd1 0.5000 0.5000 0.0000  4 Be 2.37
Cd2 0.2500 0.7500 0.5000  4 Be 2.37



US2I | PBE-GGA | optimized geometry

Computed properties:
- magnetic moment (μB/atom) = 0.250
- energy above the most stable polymorph in this dataset (meV per atom) = 41
- VASP energy (eV per cell) = -24.97

Cell: 4.2640 4.2640 8.3542 Å, 75.21 75.21 60.00°
With the nearest neighbours (Å) after each atom.
Positions (direct):
U1 0.6524 0.6524 0.0429  6 S 2.60-2.77
S1 0.0386 0.0386 0.8843  3 U 2.77
S2 0.2844 0.2844 0.1469  3 U 2.60
I1 0.5247 0.5247 0.4259  1 U 3.06, 3 S 3.32



Ti2CrGaH | PBE-GGA | optimized geometry

Computed properties:
- magnetic moment (μB/atom) = 0.000
- VASP energy (eV per cell) = -33.38

Cell: 4.2073 4.2073 3.4380 Å, 90.00 90.00 90.00°
With the nearest neighbours (Å) after each atom.
Positions (direct):
Cr1 0.0000 0.0000 0.5000  2 H 1.72
H1 0.0000 0.0000 0.0000  2 Cr 1.72
Ga1 0.5000 0.5000 0.5000  8 Ti 2.72, 4 Cr 2.97
Ti1 0.0000 0.5000 0.0000  2 H 2.10
Ti2 0.5000 0.0000 0.0000  2 H 2.10



MgUPb2S6 | PBE-GGA | optimized geometry

Computed properties:
- magnetic moment (μB/atom) = 0.000
- VASP energy (eV per cell) = -108.59

Cell: 6.8135 7.1925 9.8538 Å, 90.00 88.57 90.00°
With the nearest neighbours (Å) after each atom.
Positions (direct):
Mg1 0.5000 0.0000 0.0000  6 S 2.60-2.63
Mg2 0.0000 0.5000 0.5000  6 S 2.60-2.63
U1 0.5000 0.0000 0.5000  6 S 2.56-2.57
U2 0.0000 0.5000 0.0000  6 S 2.56-2.57
Pb1 0.0237 0.9275 0.2609  6 S 2.91-3.26
Pb2 0.5237 0.5725 0.7609  6 S 2.91-3.26
Pb3 0.9763 0.0725 0.7391  6 S 2.91-3.26
Pb4 0.4763 0.4275 0.2391  6 S 2.91-3.26
S1 0.3053 0.6948 0.0494  1 U 2.56, 1 Mg 2.60
S2 0.8053 0.8052 0.5494  1 U 2.56, 1 Mg 2.60
S3 0.6947 0.3052 0.9506  1 U 2.56, 1 Mg 2.60
S4 0.1947 0.1948 0.4506  1 U 2.56, 1 Mg 2.60
S5 0.3116 0.7027 0.4415  1 U 2.57, 1 Mg 2.63
S6 0.8116 0.7973 0.9415  1 U 2.57, 1 Mg 2.63
S7 0.6884 0.2973 0.5585  1 U 2.57, 1 Mg 2.63
S8 0.1884 0.2027 0.0585  1 U 2.57, 1 Mg 2.63
S9 0.8898 0.5282 0.2490  1 U 2.56, 1 Mg 2.61
S10 0.3898 0.9718 0.7490  1 U 2.56, 1 Mg 2.61
S11 0.1102 0.4718 0.7510  1 U 2.56, 1 Mg 2.61
S12 0.6102 0.0282 0.2510  1 U 2.56, 1 Mg 2.61



PrHo4Th | PBE-GGA | optimized geometry

Computed properties:
- magnetic moment (μB/atom) = 0.000
- energy above the most stable polymorph in this dataset (meV per atom) = 0
- VASP energy (eV per cell) = -30.49
- energy of formation from the pure elements (eV per formula unit) = 0.02

Cell: 8.8037 8.8037 6.2641 Å, 83.11 83.11 23.47°
With the nearest neighbours (Å) after each atom.
Positions (direct):
Pr1 0.5000 0.5000 0.0000  6 Ho 3.53-3.55, 2 Pr 3.58, 4 Th 3.61
Ho1 0.1679 0.1679 0.1153  9 Ho 3.51-3.64, 1 Th 3.53, 2 Pr 3.55
Ho2 0.8321 0.8321 0.8847  9 Ho 3.51-3.64, 1 Th 3.53, 2 Pr 3.55
Ho3 0.6658 0.6658 0.6096  2 Th 3.51, 9 Ho 3.52-3.64, 1 Pr 3.53
Ho4 0.3342 0.3342 0.3904  2 Th 3.51, 9 Ho 3.52-3.64, 1 Pr 3.53
Th1 0.0000 0.0000 0.5000  6 Ho 3.51-3.53, 2 Th 3.58, 4 Pr 3.61



AlCd2In | PBE-GGA | optimized geometry

Computed properties:
- magnetic moment (μB/atom) = 0.000
- energy above the most stable polymorph in this dataset (meV per atom) = 101
- VASP energy (eV per cell) = -7.60
- energy of formation from the pure elements (eV per formula unit) = 0.71

Cell: 5.0955 5.0955 5.0955 Å, 60.00 60.00 60.00°
With the nearest neighbours (Å) after each atom.
Positions (direct):
Cd1 0.2500 0.2500 0.2500  4 In 3.12, 4 Al 3.12
Cd2 0.7500 0.7500 0.7500  4 In 3.12, 4 Al 3.12
Al1 0.0000 0.0000 0.0000  8 Cd 3.12
In1 0.5000 0.5000 0.5000  8 Cd 3.12



Pr5Dy3Cd | PBE-GGA | optimized geometry

Computed properties:
- magnetic moment (μB/atom) = 0.000
- VASP energy (eV per cell) = -69.74
- energy of formation from the pure elements (eV per formula unit) = 3.75

Cell: 8.1604 8.1604 11.1405 Å, 74.10 74.10 89.31°
With the nearest neighbours (Å) after each atom.
Positions (direct):
Pr1 0.9377 0.4017 0.3564  2 Dy 3.33-3.63, 1 Cd 3.40
Pr2 0.2535 0.7465 0.0000  3 Dy 2.91-3.24
Pr3 0.6856 0.6856 0.1266  4 Dy 3.32-3.45, 1 Cd 3.35, 1 Pr 3.65
Pr4 0.4032 0.4032 0.4223  2 Dy 3.18-3.22, 1 Pr 3.32
Pr5 0.5968 0.5968 0.5777  2 Dy 3.18-3.22, 1 Pr 3.32
Pr6 0.3144 0.3144 0.8734  4 Dy 3.32-3.45, 1 Cd 3.35, 1 Pr 3.65
Pr7 0.4017 0.9377 0.3564  2 Dy 3.33-3.63, 1 Cd 3.40
Pr8 0.7465 0.2535 0.0000  3 Dy 2.91-3.24
Pr9 0.0623 0.5983 0.6436  2 Dy 3.33-3.63, 1 Cd 3.40
Pr10 0.5983 0.0623 0.6436  2 Dy 3.33-3.63, 1 Cd 3.40
Dy1 0.6058 0.6058 0.8590  1 Cd 2.95, 1 Dy 3.16, 3 Pr 3.18-3.24
Dy2 0.8467 0.8467 0.3165  1 Cd 3.00, 2 Dy 3.19-3.28, 2 Pr 3.22-3.32
Dy3 0.0000 0.0000 0.0000  2 Pr 2.91, 2 Cd 2.99
Dy4 0.0000 0.0000 0.5000  2 Dy 3.19, 2 Cd 3.20, 4 Pr 3.33
Dy5 0.3942 0.3942 0.1410  1 Cd 2.95, 1 Dy 3.16, 3 Pr 3.18-3.24
Dy6 0.1533 0.1533 0.6835  1 Cd 3.00, 2 Dy 3.19-3.28, 2 Pr 3.22-3.32
Cd1 0.8740 0.8740 0.8106  4 Dy 2.95-3.20
Cd2 0.1260 0.1260 0.1894  4 Dy 2.95-3.20



LiTi2NiSe | PBE-GGA | optimized geometry

Computed properties:
- magnetic moment (μB/atom) = 0.000
- VASP energy (eV per cell) = -26.53

Cell: 4.5089 4.4016 4.5089 Å, 90.00 90.00 90.00°
With the nearest neighbours (Å) after each atom.
Positions (direct):
Ni1 0.0000 0.0000 0.0000  2 Li 2.20, 4 Ti 2.25
Li1 0.0000 0.5000 0.0000  2 Ni 2.20
Se1 0.5000 0.5000 0.5000  8 Ti 3.15, 4 Li 3.19
Ti1 0.0000 0.0000 0.5000  2 Ni 2.25
Ti2 0.5000 0.0000 0.0000  2 Ni 2.25



YScZnAg | PBE-GGA | optimized geometry

Computed properties:
- magnetic moment (μB/atom) = 0.000
- VASP energy (eV per cell) = -18.15
- energy of formation from the pure elements (eV per formula unit) = -1.22

Cell: 4.9690 4.9690 4.9690 Å, 60.00 60.00 60.00°
With the nearest neighbours (Å) after each atom.
Positions (direct):
Y1 0.7500 0.7500 0.7500  4 Ag 3.04, 4 Zn 3.04
Sc1 0.2500 0.2500 0.2500  4 Zn 3.04, 4 Ag 3.04
Zn1 0.0000 0.0000 0.0000  4 Sc 3.04, 4 Y 3.04
Ag1 0.5000 0.5000 0.5000  4 Sc 3.04, 4 Y 3.04



HfThZrNb | PBE-GGA | optimized geometry

Computed properties:
- magnetic moment (μB/atom) = 0.000
- VASP energy (eV per cell) = -35.42
- energy of formation from the pure elements (eV per formula unit) = 0.57

Cell: 5.0796 5.0796 5.0796 Å, 60.00 60.00 60.00°
With the nearest neighbours (Å) after each atom.
Positions (direct):
Nb1 0.0000 0.0000 0.0000  4 Th 3.11, 4 Hf 3.11
Hf1 0.7500 0.7500 0.7500  4 Zr 3.11, 4 Nb 3.11
Zr1 0.5000 0.5000 0.5000  4 Th 3.11, 4 Hf 3.11
Th1 0.2500 0.2500 0.2500  4 Nb 3.11, 4 Zr 3.11



LiV2CuAs | PBE-GGA | optimized geometry

Computed properties:
- magnetic moment (μB/atom) = 0.709
- VASP energy (eV per cell) = -25.14
- energy of formation from the pure elements (eV per formula unit) = 3.76

Cell: 4.5238 4.1722 4.5238 Å, 90.00 90.00 90.00°
With the nearest neighbours (Å) after each atom.
Positions (direct):
As1 0.5000 0.5000 0.5000  8 V 3.08, 4 Li 3.20
Li1 0.0000 0.5000 0.0000  2 Cu 2.09
Cu1 0.0000 0.0000 0.0000  2 Li 2.09, 4 V 2.26
V1 0.0000 0.0000 0.5000  2 Cu 2.26
V2 0.5000 0.0000 0.0000  2 Cu 2.26



V2CuRuPb | PBE-GGA | optimized geometry

Computed properties:
- magnetic moment (μB/atom) = 0.000
- VASP energy (eV per cell) = -24.31
- energy of formation from the pure elements (eV per formula unit) = 11.00

Cell: 4.9107 4.5749 4.9107 Å, 90.00 90.00 90.00°
With the nearest neighbours (Å) after each atom.
Positions (direct):
Pb1 0.0000 0.0000 0.0000  2 Cu 2.29, 4 V 2.46
Ru1 0.5000 0.5000 0.5000  8 V 3.36, 4 Cu 3.47
Cu1 0.0000 0.5000 0.0000  2 Pb 2.29
V1 0.0000 0.0000 0.5000  2 Pb 2.46
V2 0.5000 0.0000 0.0000  2 Pb 2.46



Nb6IrRh12 | PBE-GGA | optimized geometry

Computed properties:
- magnetic moment (μB/atom) = 0.000
- VASP energy (eV per cell) = -163.10
- energy of formation from the pure elements (eV per formula unit) = -5.60

Cell: 6.7173 6.7173 6.7173 Å, 91.37 91.37 91.37°
With the nearest neighbours (Å) after each atom.
Positions (direct):
Nb1 0.7011 0.8700 0.2518  7 Rh 2.62-2.87, 1 Ir 2.79
Nb2 0.7482 0.2989 0.1300  7 Rh 2.62-2.87, 1 Ir 2.79
Nb3 0.1300 0.7482 0.2989  7 Rh 2.62-2.87, 1 Ir 2.79
Nb4 0.2989 0.1300 0.7482  7 Rh 2.62-2.87, 1 Ir 2.79
Nb5 0.2518 0.7011 0.8700  7 Rh 2.62-2.87, 1 Ir 2.79
Nb6 0.8700 0.2518 0.7011  7 Rh 2.62-2.87, 1 Ir 2.79
Ir1 0.0000 0.0000 0.0000  6 Rh 2.62, 6 Nb 2.79
Rh1 0.7931 0.5365 0.4532  4 Nb 2.62-2.87, 4 Rh 2.67-2.89
Rh2 0.4532 0.7931 0.5365  4 Nb 2.62-2.87, 4 Rh 2.67-2.89
Rh3 0.5365 0.4532 0.7931  4 Nb 2.62-2.87, 4 Rh 2.67-2.89
Rh4 0.2069 0.4635 0.5468  4 Nb 2.62-2.87, 4 Rh 2.67-2.89
Rh5 0.5468 0.2069 0.4635  4 Nb 2.62-2.87, 4 Rh 2.67-2.89
Rh6 0.4635 0.5468 0.2069  4 Nb 2.62-2.87, 4 Rh 2.67-2.89
Rh7 0.0395 0.1415 0.3661  1 Ir 2.62, 3 Nb 2.64-2.75, 4 Rh 2.67-2.78
Rh8 0.8585 0.6339 0.9605  1 Ir 2.62, 3 Nb 2.64-2.75, 4 Rh 2.67-2.78
Rh9 0.6339 0.9605 0.8585  1 Ir 2.62, 3 Nb 2.64-2.75, 4 Rh 2.67-2.78
Rh10 0.9605 0.8585 0.6339  1 Ir 2.62, 3 Nb 2.64-2.75, 4 Rh 2.67-2.78
Rh11 0.1415 0.3661 0.0395  1 Ir 2.62, 3 Nb 2.64-2.75, 4 Rh 2.67-2.78
Rh12 0.3661 0.0395 0.1415  1 Ir 2.62, 3 Nb 2.64-2.75, 4 Rh 2.67-2.78



CaOsPt2 | PBE-GGA | optimized geometry

Computed properties:
- magnetic moment (μB/atom) = 0.487
- energy above the most stable polymorph in this dataset (meV per atom) = 324
- VASP energy (eV per cell) = -24.68
- energy of formation from the pure elements (eV per formula unit) = 0.64

Cell: 4.6352 4.6352 4.6352 Å, 60.00 60.00 60.00°
With the nearest neighbours (Å) after each atom.
Positions (direct):
Ca1 0.0000 0.0000 0.0000  8 Pt 2.84
Os1 0.5000 0.5000 0.5000  8 Pt 2.84
Pt1 0.2500 0.2500 0.2500  4 Ca 2.84, 4 Os 2.84
Pt2 0.7500 0.7500 0.7500  4 Os 2.84, 4 Ca 2.84



Er3CdP | PBE-GGA | optimized geometry

Computed properties:
- magnetic moment (μB/atom) = 0.000
- VASP energy (eV per cell) = -22.71
- energy of formation from the pure elements (eV per formula unit) = -2.70

Cell: 5.2174 5.2174 5.2174 Å, 90.00 90.00 90.00°
With the nearest neighbours (Å) after each atom.
Positions (direct):
P1 0.0000 0.0000 0.0000  6 Er 2.61
Cd1 0.5000 0.5000 0.5000  12 Er 3.69
Er1 0.0000 0.5000 0.0000  2 P 2.61
Er2 0.0000 0.0000 0.5000  2 P 2.61
Er3 0.5000 0.0000 0.0000  2 P 2.61



CaLa5Pb4 | PBE-GGA | optimized geometry

Computed properties:
- magnetic moment (μB/atom) = 0.001
- VASP energy (eV per cell) = -43.81
- energy of formation from the pure elements (eV per formula unit) = -2.34

Cell: 3.8945 10.2801 10.4599 Å, 107.70 100.73 90.00°
With the nearest neighbours (Å) after each atom.
Positions (direct):
Ca1 0.5000 0.0000 0.0000  6 Pb 3.23-3.36
La1 0.8290 0.6462 0.6580  3 Pb 3.24-3.26
La2 0.8384 0.1643 0.6768  4 Pb 3.27-3.30
La3 0.1616 0.8357 0.3232  4 Pb 3.27-3.30
La4 0.5000 0.5000 0.0000  4 Pb 3.23
La5 0.1710 0.3538 0.3420  3 Pb 3.24-3.26
Pb1 0.3282 0.9001 0.6564  5 La 3.26-3.30, 1 Ca 3.36
Pb2 0.9946 0.7466 0.9892  4 La 3.23-3.27, 2 Ca 3.23
Pb3 0.6718 0.0999 0.3436  5 La 3.26-3.30, 1 Ca 3.36
Pb4 0.0054 0.2534 0.0108  4 La 3.23-3.27, 2 Ca 3.23



NaLaAg2 | PBE-GGA | optimized geometry

Computed properties:
- magnetic moment (μB/atom) = 0.000
- VASP energy (eV per cell) = -12.38
- energy of formation from the pure elements (eV per formula unit) = -0.43

Cell: 3.7292 3.7292 7.3171 Å, 90.00 90.00 90.00°
With the nearest neighbours (Å) after each atom.
Positions (direct):
Na1 0.5000 0.5000 0.0000  8 Ag 3.14
Ag1 0.0000 0.0000 0.7675  4 Na 3.14, 4 La 3.28, 1 Ag 3.40
Ag2 0.0000 0.0000 0.2325  4 Na 3.14, 4 La 3.28, 1 Ag 3.40
La1 0.5000 0.5000 0.5000  8 Ag 3.28, 2 Na 3.66



BaTaTcO6 | PBE-GGA | optimized geometry

Computed properties:
- magnetic moment (μB/atom) = 0.000
- VASP energy (eV per cell) = -146.41

Cell: 5.1840 5.1840 9.9299 Å, 90.00 90.00 90.00°
With the nearest neighbours (Å) after each atom.
Positions (direct):
Ba1 0.5000 0.5000 0.4900  4 O 2.49-2.68
Ba2 0.0000 0.0000 0.9900  4 O 2.49-2.68
Ta1 0.5000 0.5000 0.8426  4 O 1.90-1.97
Ta2 0.0000 0.0000 0.3426  4 O 1.90-1.97
Tc1 0.5000 0.5000 0.1634  4 O 1.82-1.99
Tc2 0.0000 0.0000 0.6634  4 O 1.82-1.99
O1 0.1602 0.8398 0.5018  1 Ta 1.97, 1 Tc 1.99
O2 0.8398 0.1602 0.5018  1 Ta 1.97, 1 Tc 1.99
O3 0.3398 0.3398 0.0018  1 Ta 1.97, 1 Tc 1.99
O4 0.6602 0.6602 0.0018  1 Ta 1.97, 1 Tc 1.99
O5 0.2585 0.7415 0.2069  1 Tc 1.82
O6 0.7415 0.2585 0.2069  1 Tc 1.82
O7 0.2415 0.2415 0.7069  1 Tc 1.82
O8 0.7585 0.7585 0.7069  1 Tc 1.82
O9 0.7507 0.2493 0.7932  1 Ta 1.90
O10 0.2493 0.7507 0.7932  1 Ta 1.90
O11 0.7493 0.7493 0.2932  1 Ta 1.90
O12 0.2507 0.2507 0.2932  1 Ta 1.90



NbP2Au2 | PBE-GGA | optimized geometry

Computed properties:
- magnetic moment (μB/atom) = 0.000
- energy above the most stable polymorph in this dataset (meV per atom) = 243
- VASP energy (eV per cell) = -26.11
- energy of formation from the pure elements (eV per formula unit) = 1.33

Cell: 3.6179 3.6179 7.6073 Å, 76.24 76.24 90.00°
With the nearest neighbours (Å) after each atom.
Positions (direct):
P1 0.4198 0.4198 0.1604  1 P 2.30
P2 0.5802 0.5802 0.8396  1 P 2.30
Nb1 0.0000 0.0000 0.0000  8 P 2.80
Au1 0.7500 0.2500 0.5000  4 Au 2.56
Au2 0.2500 0.7500 0.5000  4 Au 2.56



Tb6DyCd2 | PBE-GGA | optimized geometry

Computed properties:
- magnetic moment (μB/atom) = 0.000
- energy above the most stable polymorph in this dataset (meV per atom) = 74
- VASP energy (eV per cell) = -69.45
- energy of formation from the pure elements (eV per formula unit) = -0.51

Cell: 6.1166 9.5603 9.5603 Å, 73.19 85.77 85.77°
With the nearest neighbours (Å) after each atom.
Positions (direct):
Tb1 0.4923 0.6826 0.4281  3 Cd 3.17-3.37, 4 Tb 3.25-3.44
Tb2 0.0077 0.5719 0.3174  3 Cd 3.17-3.37, 4 Tb 3.25-3.44
Tb3 0.5077 0.3174 0.5719  3 Cd 3.17-3.37, 4 Tb 3.25-3.44
Tb4 0.9923 0.4281 0.6826  3 Cd 3.17-3.37, 4 Tb 3.25-3.44
Tb5 0.6620 0.0969 0.3523  3 Cd 3.27-3.34, 5 Tb 3.42-3.55, 1 Dy 3.46
Tb6 0.8380 0.6477 0.9031  3 Cd 3.27-3.34, 5 Tb 3.42-3.55, 1 Dy 3.46
Tb7 0.3380 0.9031 0.6477  3 Cd 3.27-3.34, 5 Tb 3.42-3.55, 1 Dy 3.46
Tb8 0.1620 0.3523 0.0969  3 Cd 3.27-3.34, 5 Tb 3.42-3.55, 1 Dy 3.46
Tb9 0.3139 0.7302 0.0310  2 Cd 3.14-3.34, 3 Tb 3.25-3.47, 2 Dy 3.39-3.42
Tb10 0.1861 0.9690 0.2698  2 Cd 3.14-3.34, 3 Tb 3.25-3.47, 2 Dy 3.39-3.42
Tb11 0.6861 0.2698 0.9690  2 Cd 3.14-3.34, 3 Tb 3.25-3.47, 2 Dy 3.39-3.42
Tb12 0.8139 0.0310 0.7302  2 Cd 3.14-3.34, 3 Tb 3.25-3.47, 2 Dy 3.39-3.42
Dy1 0.2500 0.0999 0.9001  10 Tb 3.39-3.80
Dy2 0.7500 0.9001 0.0999  10 Tb 3.39-3.80
Cd1 0.4079 0.5411 0.7866  8 Tb 3.14-3.37
Cd2 0.0921 0.2134 0.4589  8 Tb 3.14-3.37
Cd3 0.5921 0.4589 0.2134  8 Tb 3.14-3.37
Cd4 0.9079 0.7866 0.5411  8 Tb 3.14-3.37